Material: LiCrIO2
Method: DFT, PBE+U
State: optimized geometry

Cell and atoms, written as CIF:
```
data_LiCrIO2
_symmetry_space_group_name_H-M 'P 4/m m m'
_symmetry_Int_Tables_number 123
_symmetry_space_group_name_Hall '-P 4 2'
_cell_length_a 3.759
_cell_length_b 3.759
_cell_length_c 6.866
_cell_angle_alpha 90.00
_cell_angle_beta 90.00
_cell_angle_gamma 90.00
loop_
_atom_site_label
_atom_site_type_symbol
_atom_site_fract_x
_atom_site_fract_y
_atom_site_fract_z
_atom_site_occupancy
Li1 Li 0.000 0.000 0.000 1
Cr1 Cr 0.500 0.500 0.500 1
I1 I 0.500 0.500 0.000 1
O1 O 0.000 0.500 0.500 1
```

=====

Material: LiCrIO2
Method: DFT, PBE+U
State: optimized geometry

Cell and atoms, written as CIF:
```
data_LiCrIO2
_symmetry_space_group_name_H-M 'P 4/m m m'
_symmetry_Int_Tables_number 123
_symmetry_space_group_name_Hall '-P 4 2'
_cell_length_a 4.007
_cell_length_b 4.007
_cell_length_c 5.278
_cell_angle_alpha 90.00
_cell_angle_beta 90.00
_cell_angle_gamma 90.00
loop_
_atom_site_label
_atom_site_type_symbol
_atom_site_fract_x
_atom_site_fract_y
_atom_site_fract_z
_atom_site_occupancy
Li1 Li 0.000 0.000 0.000 1
Cr1 Cr 0.500 0.500 0.500 1
I1 I 0.000 0.000 0.500 1
O1 O 0.000 0.500 0.000 1
```

=====

Summary of Fermi-level density of states in states/eV/f.u.
2.2, 3.5
(order as listed above)
Summary of electronic total energy in eV/atom
-5.174, -4.187
(order as listed above)